{
  "formula": "AcNi6",
  "functional": "GGA-PBE",
  "state": "relaxed",
  "spacegroup": "Pnma",
  "cell": [[5.049, 0.000, 0.000], [0.000, 7.899, 0.000], [0.000, 0.000, 10.089]],
  "species": ["Ni", "Ni", "Ni", "Ni", "Ni", "Ni", "Ni", "Ni", "Ni", "Ni", "Ni", "Ni", "Ni", "Ni", "Ni", "Ni", "Ni", "Ni", "Ni", "Ni", "Ni", "Ni", "Ni", "Ni", "Ac", "Ac", "Ac", "Ac"],
  "frac_coords": [[0.004, 0.432, 0.188], [0.250, 0.395, 0.982], [0.250, 0.654, 0.351], [0.750, 0.346, 0.649], [0.750, 0.677, 0.258], [0.250, 0.323, 0.742], [0.750, 0.105, 0.482], [0.504, 0.568, 0.812], [0.750, 0.427, 0.397], [0.750, 0.605, 0.018], [0.496, 0.932, 0.312], [0.250, 0.895, 0.518], [0.250, 0.154, 0.149], [0.250, 0.823, 0.758], [0.750, 0.846, 0.851], [0.996, 0.068, 0.688], [0.496, 0.432, 0.188], [0.004, 0.932, 0.312], [0.250, 0.573, 0.603], [0.250, 0.073, 0.897], [0.504, 0.068, 0.688], [0.996, 0.568, 0.812], [0.750, 0.927, 0.103], [0.750, 0.177, 0.242], [0.750, 0.234, 0.940], [0.250, 0.266, 0.440], [0.250, 0.766, 0.060], [0.750, 0.734, 0.560]]
}

***

{
  "formula": "Ac3Ni",
  "functional": "GGA-PBE",
  "state": "relaxed",
  "spacegroup": "I-4",
  "cell": [[-5.765, 1.927, 2.890], [-3.543, -7.078, 5.491], [1.729, 4.145, 8.522]],
  "species": ["Ac", "Ac", "Ac", "Ac", "Ac", "Ac", "Ac", "Ac", "Ac", "Ac", "Ac", "Ac", "Ni", "Ni", "Ni", "Ni"],
  "frac_coords": [[0.504, 0.359, 0.634], [0.349, 0.997, 0.799], [0.146, 0.003, 0.201], [0.138, 0.366, 0.359], [0.851, 0.799, 0.003], [0.017, 0.391, 0.996], [0.497, 0.641, 0.366], [0.988, 0.996, 0.609], [0.862, 0.634, 0.641], [0.654, 0.201, 0.997], [0.592, 0.004, 0.391], [0.403, 0.609, 0.004], [0.700, 0.297, 0.289], [0.286, 0.703, 0.711], [0.011, 0.289, 0.703], [0.003, 0.711, 0.297]]
}

***

{
  "formula": "Ac2Ni3",
  "functional": "GGA-PBE",
  "state": "relaxed",
  "spacegroup": "Immm",
  "cell": [[4.481, 0.000, 0.000], [2.240, 5.210, 0.297], [2.240, 2.287, 4.691]],
  "species": ["Ni", "Ni", "Ni", "Ac", "Ac"],
  "frac_coords": [[0.000, 0.000, 0.000], [0.500, 0.767, 0.233], [0.500, 0.233, 0.767], [0.189, 0.311, 0.311], [0.811, 0.689, 0.689]]
}

***

{
  "formula": "Ac8Ni3",
  "functional": "GGA-PBE",
  "state": "relaxed",
  "spacegroup": "R-3",
  "cell": [[-2.288, 1.731, -6.732], [2.046, -6.513, -2.637], [-6.619, -2.860, 1.247]],
  "species": ["Ac", "Ac", "Ac", "Ac", "Ac", "Ac", "Ac", "Ac", "Ni", "Ni", "Ni"],
  "frac_coords": [[0.848, 0.173, 0.329], [0.827, 0.671, 0.152], [0.671, 0.152, 0.827], [0.152, 0.827, 0.671], [0.329, 0.848, 0.173], [0.654, 0.654, 0.654], [0.173, 0.329, 0.848], [0.346, 0.346, 0.346], [0.500, 0.500, 0.000], [0.500, 0.000, 0.500], [0.000, 0.500, 0.500]]
}

***

{
  "formula": "Ac3Ni2",
  "functional": "GGA-PBE",
  "state": "relaxed",
  "spacegroup": "R-3c",
  "cell": [[7.374, 0.000, 0.000], [3.687, 6.386, 0.000], [3.687, 2.129, 6.594]],
  "species": ["Ac", "Ac", "Ac", "Ac", "Ac", "Ac", "Ni", "Ni", "Ni", "Ni"],
  "frac_coords": [[0.750, 0.388, 0.750], [0.388, 0.112, 0.750], [0.112, 0.750, 0.750], [0.888, 0.250, 0.250], [0.612, 0.888, 0.250], [0.250, 0.612, 0.250], [0.815, 0.815, 0.556], [0.315, 0.315, 0.056], [0.685, 0.685, 0.944], [0.185, 0.185, 0.444]]
}

***

{
  "formula": "Ac4Ni",
  "functional": "GGA-PBE",
  "state": "relaxed",
  "spacegroup": "Pm-3m",
  "cell": [[5.861, 0.000, 0.000], [0.000, 5.861, 0.000], [0.000, 0.000, 5.861]],
  "species": ["Ni", "Ac", "Ac", "Ac", "Ac"],
  "frac_coords": [[0.500, 0.500, 0.500], [0.000, 0.000, 0.000], [0.500, 0.500, 0.000], [0.500, 0.000, 0.500], [0.000, 0.500, 0.500]]
}

***

no.,uncorrected energy (eV/atom)
1,-5.6055
2,-4.5390
3,-5.3111
4,-4.6371
5,-4.9585
6,-4.4728